# Ba2Mg3In12Hg (GGA-PBE, relaxed)
data_Ba2Mg3In12Hg
_cell_length_a 7.2880
_cell_length_b 7.2880
_cell_length_c 35.6451
_cell_angle_alpha 90.00
_cell_angle_beta 90.00
_cell_angle_gamma 120.00
_symmetry_space_group_name_H-M 'R -3 m'
_symmetry_Int_Tables_number 166
_symmetry_space_group_name_Hall '-R 3 2"'
loop_
_atom_site_label
_atom_site_fract_x
_atom_site_fract_y
_atom_site_fract_z
Ba1 0.0000 0.0000 0.1407
Mg1 0.0000 0.5000 0.0000
In1 0.0091 0.5045 0.1037
In2 0.0558 0.5279 0.6168
Hg1 0.0000 0.0000 0.5000
# Energy relative to the elements   -78 meV per atom
# DOS at the Fermi energy   0.335 states/eV per atom